1.
# Rb2Tl2VF6 | Alexandria via LeMat-Bulk | PBE with a Hubbard U | relaxed
# size of the total moment = 3.00 μB per formula unit
# uncorrected energy = -4.633 eV/atom
data_Rb2Tl2VF6
_chemical_formula_sum 'Rb4 Tl4 V2 F12'
_symmetry_space_group_name_H-M 'C 1 2/m 1'
_symmetry_Int_Tables_number 12
_symmetry_space_group_name_Hall '-C 2y'
_cell_length_a 6.876
_cell_length_b 11.465
_cell_length_c 6.486
_cell_angle_alpha 90.00
_cell_angle_beta 104.90
_cell_angle_gamma 90.00
loop_
_atom_site_label
_atom_site_fract_x
_atom_site_fract_y
_atom_site_fract_z
Rb1 0.000 0.157 0.000
Tl1 0.000 0.336 0.500
V1 0.000 0.500 0.000
F1 0.179 0.500 0.766
F2 0.180 0.365 0.184

---

2.
# RbTlVF4 | Alexandria via LeMat-Bulk | PBE with a Hubbard U | relaxed
# size of the total moment = 3.00 μB per formula unit
# uncorrected energy = -5.070 eV/atom
data_RbTlVF4
_chemical_formula_sum 'Rb2 Tl2 V2 F8'
_symmetry_space_group_name_H-M 'I 4 m m'
_symmetry_Int_Tables_number 107
_symmetry_space_group_name_Hall 'I 4 -2'
_cell_length_a 4.250
_cell_length_b 4.250
_cell_length_c 14.105
_cell_angle_alpha 90.00
_cell_angle_beta 90.00
_cell_angle_gamma 90.00
loop_
_atom_site_label
_atom_site_fract_x
_atom_site_fract_y
_atom_site_fract_z
Rb1 0.000 0.000 0.000
Tl1 0.000 0.000 0.703
V1 0.000 0.000 0.350
F1 0.000 0.000 0.199
F2 0.000 0.000 0.501
F3 0.000 0.500 0.351

---

3.
# Rb2TlWF6 | Alexandria via LeMat-Bulk | PBE with a Hubbard U | relaxed
# size of the total moment = 3.00 μB per formula unit
# relative energy among the computed polymorphs = 0 meV per atom
data_Rb2TlWF6
_chemical_formula_sum 'Rb8 Tl4 W4 F24'
_symmetry_space_group_name_H-M 'F m -3 m'
_symmetry_Int_Tables_number 225
_symmetry_space_group_name_Hall '-F 4 2 3'
_cell_length_a 9.522
_cell_length_b 9.522
_cell_length_c 9.522
_cell_angle_alpha 90.00
_cell_angle_beta 90.00
_cell_angle_gamma 90.00
loop_
_atom_site_label
_atom_site_fract_x
_atom_site_fract_y
_atom_site_fract_z
Rb1 0.250 0.250 0.250
Tl1 0.000 0.000 0.000
W1 0.000 0.000 0.500
F1 0.000 0.000 0.278

---

4.
# RbTl2WF6 | Alexandria via LeMat-Bulk | PBE with a Hubbard U | relaxed
# size of the total moment = 3.00 μB per formula unit
# uncorrected energy = -4.765 eV/atom
data_RbTl2WF6
_chemical_formula_sum 'Rb2 Tl4 W2 F12'
_symmetry_space_group_name_H-M 'P 1 21/c 1'
_symmetry_Int_Tables_number 14
_symmetry_space_group_name_Hall '-P 2ybc'
_cell_length_a 6.801
_cell_length_b 6.505
_cell_length_c 11.222
_cell_angle_alpha 90.00
_cell_angle_beta 122.99
_cell_angle_gamma 90.00
loop_
_atom_site_label
_atom_site_fract_x
_atom_site_fract_y
_atom_site_fract_z
Rb1 0.000 0.000 0.000
Tl1 0.281 0.002 0.758
W1 0.500 0.000 0.500
F1 0.185 0.005 0.295
F2 0.361 0.727 0.072
F3 0.364 0.227 0.573

---

5.
# RbTl2WF8 | Alexandria via LeMat-Bulk | PBE with a Hubbard U | relaxed
# size of the total moment = 1.00 μB per formula unit
# uncorrected energy = -4.772 eV/atom
data_RbTl2WF8
_chemical_formula_sum 'Rb1 Tl2 W1 F8'
_symmetry_space_group_name_H-M 'P 1 2/m 1'
_symmetry_Int_Tables_number 10
_symmetry_space_group_name_Hall '-P 2y'
_cell_length_a 4.836
_cell_length_b 8.428
_cell_length_c 6.688
_cell_angle_alpha 90.00
_cell_angle_beta 95.19
_cell_angle_gamma 90.00
loop_
_atom_site_label
_atom_site_fract_x
_atom_site_fract_y
_atom_site_fract_z
Rb1 0.000 0.000 0.000
Tl1 0.500 0.230 0.500
W1 0.000 0.500 0.000
F1 0.108 0.329 0.824
F2 0.347 0.500 0.162
F3 0.482 0.000 0.270

---

6.
# Rb2TlWF6 | Alexandria via LeMat-Bulk | PBE with a Hubbard U | relaxed
# size of the total moment = 3.00 μB per formula unit
# relative energy among the computed polymorphs = 29 meV per atom
data_Rb2TlWF6
_chemical_formula_sum 'Rb12 Tl6 W6 F36'
_symmetry_space_group_name_H-M 'R -3 m'
_symmetry_Int_Tables_number 166
_symmetry_space_group_name_Hall '-R 3 2"'
_cell_length_a 6.9899
_cell_length_b 6.9899
_cell_length_c 31.6913
_cell_angle_alpha 90.00
_cell_angle_beta 90.00
_cell_angle_gamma 120.00
loop_
_atom_site_label
_atom_site_fract_x
_atom_site_fract_y
_atom_site_fract_z
Rb1 0.0000 0.0000 0.1255
Rb2 0.0000 0.0000 0.2568
Tl1 0.0000 0.0000 0.3933
W1 0.0000 0.0000 0.0000
W2 0.0000 0.0000 0.5000
F1 0.0311 0.5156 0.1317
F2 0.0721 0.5361 0.7108